Run P
Entry from Alexandria: WC after structural relaxation (PBE).

It has space group Cm (No. 8), with a = 10.1315 Å, b = 2.9969 Å, c = 5.7837 Å, α = 90.00°, β = 121.85° and γ = 90.00°. The asymmetric unit holds W at (0.0000, 0.0000, 0.0000), W at (0.1486, 0.5000, 0.7025), W at (0.3429, 0.0000, 0.2167), C at (0.0271, 0.0000, 0.3830), C at (0.1676, 0.5000, 0.0863) and C at (0.3198, 0.0000, 0.8300).

The mass density comes out at 13.081 g/cm3. For the density of states at the Fermi level, the calculation gives 4.3 states/eV per cell. The calculation puts the calculated volume at 149.2 Å³ per cell.

***

Run Q
Entry from Alexandria: WC after structural relaxation (PBE).

It has space group R-3m (No. 166, hexagonal axes), with a = 3.5207 Å, b = 3.5207 Å, c = 14.5593 Å, α = 90.00°, β = 90.00° and γ = 120.00°. The asymmetric unit holds W at (0.0000, 0.0000, 0.2378) and C at (0.0000, 0.0000, 0.0908).

The mass density comes out at 12.485 g/cm3. For the density of states at the Fermi level, the calculation gives 9.1 states/eV per cell. The calculation puts the calculated volume at 156.3 Å³ per cell.

***

Run R
Entry from Alexandria: WC after structural relaxation (PBE).

It has space group P6_3/mmc (No. 194), with a = 4.6067 Å, b = 4.6067 Å, c = 5.5619 Å, α = 90.00°, β = 90.00° and γ = 120.00°. The asymmetric unit holds W at (0.0000, 0.0000, 0.2500), W at (0.3333, 0.6667, 0.2500) and C at (0.3333, 0.6667, 0.6314).

The mass density comes out at 12.726 g/cm3. For the density of states at the Fermi level, the calculation gives 4.8 states/eV per cell. The calculation puts the calculated volume at 102.2 Å³ per cell.

***

The least stable of the structures above is run R, whereas run P is the most stable.